A geometry-optimized CaNi2W structure, computed with PBE.

```
data_CaNi2W
_chemical_formula_sum 'Ca2 Ni4 W2'
_cell_length_a 7.025
_cell_length_b 7.025
_cell_length_c 5.814
_cell_angle_alpha 52.83
_cell_angle_beta 52.83
_cell_angle_gamma 90.00
_symmetry_space_group_name_H-M 'P 1'
_symmetry_Int_Tables_number 1
loop_
_symmetry_equiv_pos_as_xyz
'x,y,z'
loop_
_atom_site_label
_atom_site_type_symbol
_atom_site_fract_x
_atom_site_fract_y
_atom_site_fract_z
Ca1 Ca 0.500 0.500 0.000
W1 W 0.750 0.250 0.500
Ni1 Ni 0.069 0.625 0.250
Ni2 Ni 0.375 0.319 0.750
W2 W 0.000 0.000 0.000
Ni3 Ni 0.875 0.931 0.750
Ni4 Ni 0.681 0.125 0.250
Ca2 Ca 0.250 0.750 0.500
```

Summary:
ΔH_f (0 K): 0.72 eV per atom
SG: I-42d, No. 122
energy above the lowest structure with this stoichiometry: 566 meV per atom
crystal system: tetragonal

***

A geometry-optimized Mg2TiMo3S8 structure, computed with PBE.

```
data_Mg2TiMo3S8
_chemical_formula_sum 'Mg2 Ti1 Mo3 S8'
_cell_length_a 7.223
_cell_length_b 7.223
_cell_length_c 7.223
_cell_angle_alpha 62.67
_cell_angle_beta 62.67
_cell_angle_gamma 62.67
_symmetry_space_group_name_H-M 'P 1'
_symmetry_Int_Tables_number 1
loop_
_symmetry_equiv_pos_as_xyz
'x,y,z'
loop_
_atom_site_label
_atom_site_type_symbol
_atom_site_fract_x
_atom_site_fract_y
_atom_site_fract_z
S1 S 0.260 0.260 0.720
Mg1 Mg 0.880 0.880 0.880
S2 S 0.720 0.260 0.260
S3 S 0.260 0.260 0.260
Mo1 Mo 0.500 0.000 0.500
S4 S 0.260 0.720 0.260
S5 S 0.740 0.280 0.740
Mg2 Mg 0.120 0.120 0.120
Mo2 Mo 0.500 0.500 0.000
S6 S 0.740 0.740 0.740
S7 S 0.280 0.740 0.740
S8 S 0.740 0.740 0.280
Ti1 Ti 0.500 0.500 0.500
Mo3 Mo 0.000 0.500 0.500
```

Summary:
raw formation energy: -0.7899 eV per atom
SG: R-3m, No. 166
crystal system: trigonal

***

| no. | magnetization (μB/cell) |
| --- | --- |
| 1 | 1.9 |
| 2 | 7.4 |